# 1
Below is an optimized crystal structure of TmTiAu4, with properties calculated at the GGA-PBE level.

The structure in POSCAR format:
```
TmTiAu4
1.0
3.576 0.000 0.000
0.000 3.576 0.000
0.000 0.000 8.855
Tm Ti Au
1 1 4
Direct
0.500 0.500 0.500
0.000 0.000 0.000
0.500 0.500 0.843
0.500 0.500 0.157
0.000 0.000 0.676
0.000 0.000 0.324
```

Results
calculated density = 14.7 Mg/m³
magnetic moment = 0.069 μB/atom
formation enthalpy at 0 K = -0.629 eV per atom
calculated volume = 113.3 Å³ per cell
electronic total energy = -0.17914 hartree per atom

---

# 2
Below is an optimized crystal structure of Ce12YTh7, with properties calculated at the GGA-PBE level.

The structure in POSCAR format:
```
Ce12YTh7
1.0
-3.496 -8.878 0.954
7.445 -0.128 -6.042
2.881 3.236 8.554
Ce Y Th
12 1 7
Direct
0.491 0.698 0.793
0.905 0.698 0.207
0.509 0.302 0.207
0.095 0.302 0.793
0.793 0.095 0.302
0.793 0.491 0.698
0.207 0.905 0.698
0.207 0.509 0.302
0.698 0.793 0.491
0.302 0.207 0.509
0.698 0.207 0.905
0.302 0.793 0.095
0.000 0.000 0.000
0.500 0.500 0.000
0.000 0.500 0.500
0.500 0.000 0.500
0.500 0.500 0.500
0.000 0.000 0.500
0.500 0.000 0.000
0.000 0.500 0.000
```

Results
calculated density = 8.3 Mg/m³
magnetic moment = 0.658 μB/atom
formation enthalpy at 0 K = 0.811 eV per atom
calculated volume = 678.7 Å³ per cell
electronic total energy = -0.20835 hartree per atom